Entry 1:
{"formula": "Y2OsSe", "functional": "PBE", "state": "relaxed", "rho_g_cm3": 7.68, "lattice": [[4.077, 0.000, 0.000], [0.000, 4.077, 0.000], [0.000, 0.000, 5.818]], "species": ["Os", "Y", "Se", "Y"], "frac_coords": [[0.000, 0.000, 0.376], [0.000, 0.000, 0.925], [0.500, 0.500, 0.850], [0.500, 0.500, 0.349]]}

=====

Entry 2:
{"formula": "YOsSe2", "functional": "PBE", "state": "relaxed", "rho_g_cm3": 8.45, "lattice": [[-1.728, -3.959, -2.740], [1.682, -1.567, 4.570], [-3.227, -2.255, 2.243]], "species": ["Se", "Os", "Se", "Y"], "frac_coords": [[0.500, 0.500, 0.000], [0.000, 0.500, 0.500], [0.000, 0.000, 0.000], [0.500, 0.000, 0.500]]}

=====

Entry 3:
{"formula": "YOs4Se", "functional": "PBE", "state": "relaxed", "rho_g_cm3": 14.64, "lattice": [[0.000, 3.748, 3.748], [3.748, 0.000, 3.748], [3.748, 3.748, 0.000]], "species": ["Y", "Os", "Os", "Os", "Os", "Se"], "frac_coords": [[0.000, 0.000, 0.000], [0.375, 0.375, 0.375], [0.375, 0.375, 0.874], [0.375, 0.874, 0.375], [0.874, 0.375, 0.375], [0.750, 0.750, 0.750]]}

=====

Entry 4:
{"formula": "YOs2Se", "functional": "PBE", "state": "relaxed", "rho_g_cm3": 12.09, "lattice": [[5.211, 0.003, -0.002], [4.282, 2.970, -0.002], [1.778, 0.557, 4.872]], "species": ["Os", "Os", "Y", "Se"], "frac_coords": [[0.027, 0.027, 0.876], [0.748, 0.748, 0.798], [0.258, 0.258, 0.266], [0.466, 0.466, 0.559]]}

=====

Entry 5:
{"formula": "YOs2Se", "functional": "PBE", "state": "relaxed", "rho_g_cm3": 12.49, "lattice": [[-4.202, 2.152, 1.624], [1.196, -4.314, 2.209], [1.694, 1.617, 2.241]], "species": ["Os", "Os", "Y", "Se"], "frac_coords": [[0.500, 0.500, 0.000], [0.000, 0.000, 0.000], [0.000, 0.500, 0.500], [0.500, 0.000, 0.500]]}

=====

Entry 6:
{"formula": "YOs2Se", "functional": "PBE", "state": "relaxed", "rho_g_cm3": 12.83, "lattice": [[2.948, -0.024, 0.000], [-1.270, 2.661, 0.000], [0.000, 0.000, 9.081]], "species": ["Se", "Os", "Os", "Y"], "frac_coords": [[0.500, 0.500, 0.250], [0.000, 0.000, 0.491], [0.000, 0.000, 0.009], [0.500, 0.500, 0.750]]}

=====

Entry 7:
{"formula": "YOs2Se", "functional": "PBE", "state": "relaxed", "rho_g_cm3": 12.67, "lattice": [[-2.679, -3.072, 2.272], [1.415, -1.758, 4.085], [-2.150, 1.250, 3.949]], "species": ["Os", "Se", "Y", "Os"], "frac_coords": [[0.000, 0.000, 0.000], [0.500, 0.500, 0.500], [0.750, 0.750, 0.750], [0.250, 0.250, 0.250]]}

=====

Entry 8:
{"formula": "YOs2Se", "functional": "PBE", "state": "relaxed", "rho_g_cm3": 12.74, "lattice": [[5.495, -0.006, 0.001], [2.465, 4.911, -0.001], [-3.375, -3.435, 2.647]], "species": ["Y", "Os", "Os", "Se"], "frac_coords": [[0.258, 0.758, 0.500], [0.972, 0.972, 0.000], [0.742, 0.242, 0.500], [0.527, 0.527, 0.000]]}

=====

ΔE_f (raw) readings, ordered: -672; -25; 463; 57; 470; 770; 538; 255 meV per atom